Entry from Alexandria: BeCdHg2 at its PBEsol-relaxed geometry (meta-GGA SCAN).

Computed properties:
* space-group type: No. 12
* formation energy: 0.36 eV/atom
* offset from the most stable computed form: 231 meV per atom

Lattice parameters (Å, degrees): 5.486 5.486 3.322 103.80 103.80 117.25
Sites, in units of the cell vectors:
Be (0.000, 0.000, 0.000)
Cd (0.500, 0.500, 0.000)
Hg (0.000, 0.500, 0.000)
Hg (0.500, 0.000, 0.000)